1.
{"formula": "Sr2Li2OsO6", "functional": "PBE-GGA", "state": "optimized geometry", "cell": [[-2.672, -1.915, 5.095], [5.694, 2.075, 0.179], [-2.352, 4.673, -0.210]], "species": ["Sr", "Sr", "Li", "Li", "Os", "O", "O", "O", "O", "O", "O"], "frac_coords": [[0.337, 0.663, 0.500], [0.663, 0.337, 0.500], [0.890, 0.110, 0.000], [0.110, 0.890, 0.000], [0.000, 0.000, 0.500], [0.783, 0.783, 0.732], [0.034, 0.305, 0.717], [0.217, 0.217, 0.268], [0.305, 0.034, 0.717], [0.966, 0.695, 0.283], [0.695, 0.966, 0.283]], "dft_energy_ha_per_atom": -0.232, "magnetic_moment_mub_per_fu": 2.0, "e_form_raw_kj_per_mol_atoms": -186.32}

---

2.
{"formula": "HfBe10Co", "functional": "PBE-GGA", "state": "optimized geometry", "cell": [[-2.808, 0.792, 1.897], [1.426, -2.519, 3.163], [3.674, 5.843, 2.997]], "species": ["Hf", "Be", "Be", "Be", "Be", "Be", "Be", "Be", "Be", "Be", "Be", "Co"], "frac_coords": [[0.000, 0.000, 0.000], [0.000, 0.000, 0.348], [0.000, 0.500, 0.805], [0.000, 0.500, 0.195], [0.000, 0.000, 0.652], [0.500, 0.000, 0.500], [0.500, 0.500, 0.000], [0.500, 0.248, 0.259], [0.500, 0.752, 0.741], [0.500, 0.752, 0.259], [0.500, 0.248, 0.741], [0.000, 0.500, 0.500]], "e_form_ev_per_fu": -1.37, "dft_energy_ha_per_atom": -0.171, "magnetic_moment_mub_per_fu": 0.8}

---

3.
{"formula": "Pm6Tm2Cd", "functional": "PBE-GGA", "state": "optimized geometry", "cell": [[5.044, 0.000, 0.241], [0.000, 10.662, 0.000], [-0.525, 0.000, 10.651]], "species": ["Pm", "Pm", "Pm", "Pm", "Pm", "Pm", "Pm", "Pm", "Pm", "Pm", "Pm", "Pm", "Tm", "Tm", "Tm", "Tm", "Cd", "Cd"], "frac_coords": [[0.000, 0.002, 0.168], [0.000, 0.669, 0.501], [0.001, 0.658, 0.841], [0.499, 0.158, 0.659], [0.500, 0.169, 0.999], [0.500, 0.502, 0.332], [0.000, 0.998, 0.832], [0.000, 0.331, 0.499], [0.999, 0.342, 0.159], [0.501, 0.842, 0.341], [0.500, 0.831, 0.001], [0.500, 0.498, 0.668], [0.000, 0.331, 0.831], [0.500, 0.831, 0.669], [0.500, 0.169, 0.331], [0.000, 0.669, 0.169], [0.500, 0.500, 0.000], [0.000, 0.000, 0.500]], "de_polymorph_mev_per_atom": 0, "e_form_ev_per_fu": -0.12, "dft_energy_ha_per_atom": -0.157, "magnetic_moment_mub_per_fu": 0.0}

---

4.
{"formula": "BaTaCo2", "functional": "PBE-GGA", "state": "optimized geometry", "cell": [[-3.637, 5.678, -2.571], [-4.773, -4.451, -3.079], [-6.088, 0.683, -0.006]], "species": ["Co", "Co", "Co", "Co", "Ba", "Ba", "Ta", "Ta"], "frac_coords": [[0.697, 0.125, 0.250], [0.053, 0.625, 0.250], [0.375, 0.303, 0.750], [0.875, 0.947, 0.750], [0.500, 0.500, 0.000], [0.250, 0.750, 0.500], [0.000, 0.000, 0.000], [0.750, 0.250, 0.500]], "de_polymorph_mev_per_atom": 560, "e_form_ev_per_fu": 3.30, "dft_energy_ha_per_atom": -0.227, "magnetic_moment_mub_per_fu": 0.0}

---

Repeat the fourth record exactly.
{"formula": "BaTaCo2", "functional": "PBE-GGA", "state": "optimized geometry", "cell": [[-3.637, 5.678, -2.571], [-4.773, -4.451, -3.079], [-6.088, 0.683, -0.006]], "species": ["Co", "Co", "Co", "Co", "Ba", "Ba", "Ta", "Ta"], "frac_coords": [[0.697, 0.125, 0.250], [0.053, 0.625, 0.250], [0.375, 0.303, 0.750], [0.875, 0.947, 0.750], [0.500, 0.500, 0.000], [0.250, 0.750, 0.500], [0.000, 0.000, 0.000], [0.750, 0.250, 0.500]], "de_polymorph_mev_per_atom": 560, "e_form_ev_per_fu": 3.30, "dft_energy_ha_per_atom": -0.227, "magnetic_moment_mub_per_fu": 0.0}

---

Please write out number 4 again, unchanged.
{"formula": "BaTaCo2", "functional": "PBE-GGA", "state": "optimized geometry", "cell": [[-3.637, 5.678, -2.571], [-4.773, -4.451, -3.079], [-6.088, 0.683, -0.006]], "species": ["Co", "Co", "Co", "Co", "Ba", "Ba", "Ta", "Ta"], "frac_coords": [[0.697, 0.125, 0.250], [0.053, 0.625, 0.250], [0.375, 0.303, 0.750], [0.875, 0.947, 0.750], [0.500, 0.500, 0.000], [0.250, 0.750, 0.500], [0.000, 0.000, 0.000], [0.750, 0.250, 0.500]], "de_polymorph_mev_per_atom": 560, "e_form_ev_per_fu": 3.30, "dft_energy_ha_per_atom": -0.227, "magnetic_moment_mub_per_fu": 0.0}

---

Please write out number 1 again, unchanged.
{"formula": "Sr2Li2OsO6", "functional": "PBE-GGA", "state": "optimized geometry", "cell": [[-2.672, -1.915, 5.095], [5.694, 2.075, 0.179], [-2.352, 4.673, -0.210]], "species": ["Sr", "Sr", "Li", "Li", "Os", "O", "O", "O", "O", "O", "O"], "frac_coords": [[0.337, 0.663, 0.500], [0.663, 0.337, 0.500], [0.890, 0.110, 0.000], [0.110, 0.890, 0.000], [0.000, 0.000, 0.500], [0.783, 0.783, 0.732], [0.034, 0.305, 0.717], [0.217, 0.217, 0.268], [0.305, 0.034, 0.717], [0.966, 0.695, 0.283], [0.695, 0.966, 0.283]], "dft_energy_ha_per_atom": -0.232, "magnetic_moment_mub_per_fu": 2.0, "e_form_raw_kj_per_mol_atoms": -186.32}

---

What did the fourth record say?
{"formula": "BaTaCo2", "functional": "PBE-GGA", "state": "optimized geometry", "cell": [[-3.637, 5.678, -2.571], [-4.773, -4.451, -3.079], [-6.088, 0.683, -0.006]], "species": ["Co", "Co", "Co", "Co", "Ba", "Ba", "Ta", "Ta"], "frac_coords": [[0.697, 0.125, 0.250], [0.053, 0.625, 0.250], [0.375, 0.303, 0.750], [0.875, 0.947, 0.750], [0.500, 0.500, 0.000], [0.250, 0.750, 0.500], [0.000, 0.000, 0.000], [0.750, 0.250, 0.500]], "de_polymorph_mev_per_atom": 560, "e_form_ev_per_fu": 3.30, "dft_energy_ha_per_atom": -0.227, "magnetic_moment_mub_per_fu": 0.0}